Here is a relaxed SrLa2Sc crystal from Alexandria. Energies are from GGA-PBE.

Values from the calculation:
Its space-group type is I-42d (122). The calculated volume comes out at 147 Å³/f.u. The calculation puts the calculated formation energy at 1.863 eV per formula unit. The value obtained for the total energy is -4.00 eV per atom.

Cell lengths 9.2231, 9.2231, 7.3856 Å; angles 51.36, 51.36, 90.00 degrees
Element x y z (fractional)
Sc1 0.2500 0.7500 0.5000
Sc2 0.5000 0.5000 0.0000
La1 0.8750 0.8448 0.7500
La2 0.5948 0.1250 0.2500
La3 0.1552 0.6250 0.2500
La4 0.3750 0.4052 0.7500
Sr1 0.0000 0.0000 0.0000
Sr2 0.7500 0.2500 0.5000